Compound: Zn2MoPb
Source: Alexandria
Functional: GGA-PBEsol
Structure: relaxed

CIF file:
```
data_Zn2MoPb
_chemical_formula_sum 'Zn2 Mo1 Pb1'
_space_group_name_H-M_alt 'P m m m'
_space_group_IT_number 47
_cell_length_a 3.106
_cell_length_b 3.837
_cell_length_c 5.794
_cell_angle_alpha 90.00
_cell_angle_beta 90.00
_cell_angle_gamma 90.00
loop_
_space_group_symop_operation_xyz
'x,y,z'
'-x,-y,-z'
'-x,-y,z'
'x,y,-z'
'x,-y,-z'
'-x,y,z'
'-x,y,-z'
'x,-y,z'
loop_
_atom_site_label
_atom_site_fract_x
_atom_site_fract_y
_atom_site_fract_z
Zn1 0.000 0.000 0.211
Mo1 0.500 0.500 0.000
Pb1 0.500 0.500 0.500
```

N(E_F): 0.79 states/eV per atom
crystal system: orthorhombic
E_tot: -17.337 eV/cell